# ReIr2Os (PBE-GGA, optimized geometry)
# ΔE_f ... 0.5514 eV/atom
# VASP energy ... -9.799 eV per atom
# Density of states at the Fermi level ... 0.90 states/eV per atom
data_ReIr2Os
_space_group_name_H-M_alt 'F -4 3 m'
_space_group_IT_number 216
_space_group_name_Hall 'F -4 2 3'
_cell_length_a 6.211
_cell_length_b 6.211
_cell_length_c 6.211
_cell_angle_alpha 90.00
_cell_angle_beta 90.00
_cell_angle_gamma 90.00
loop_
_atom_site_label
_atom_site_type_symbol
_atom_site_fract_x
_atom_site_fract_y
_atom_site_fract_z
Re1 Re 0.000 0.000 0.000
Ir1 Ir 0.000 0.000 0.500
Ir2 Ir 0.250 0.250 0.750
Os1 Os 0.250 0.250 0.250